An optimized crystal structure of ZrTaAg2, computed with GGA-PBE.

The structure in CIF format:
```
data_ZrTaAg2
_symmetry_space_group_name_H-M 'I -4 m 2'
_symmetry_Int_Tables_number 119
_symmetry_space_group_name_Hall 'I -4 -2'
_cell_length_a 4.169
_cell_length_b 4.169
_cell_length_c 8.719
_cell_angle_alpha 90.00
_cell_angle_beta 90.00
_cell_angle_gamma 90.00
loop_
_atom_site_label
_atom_site_type_symbol
_atom_site_fract_x
_atom_site_fract_y
_atom_site_fract_z
_atom_site_occupancy
Zr1 Zr 0.000 0.000 0.000 1
Ta1 Ta 0.000 0.500 0.250 1
Ag1 Ag 0.000 0.000 0.500 1
Ag2 Ag 0.000 0.500 0.750 1
```

Values from the calculation:
- ΔH_f (0 K): 342.0 meV/atom
- Uncorrected energy: -6.184 eV/atom
- Fermi-level density of states: 8.53 states/eV/cell
- Relative energy among the computed polymorphs: 275 meV per atom

***

An optimized crystal structure of ZrTaAg2, computed with GGA-PBE.

The structure in CIF format:
```
data_ZrTaAg2
_symmetry_space_group_name_H-M 'R -3 m'
_symmetry_Int_Tables_number 166
_symmetry_space_group_name_Hall '-R 3 2"'
_cell_length_a 2.9254
_cell_length_b 2.9254
_cell_length_c 30.7712
_cell_angle_alpha 90.00
_cell_angle_beta 90.00
_cell_angle_gamma 120.00
loop_
_atom_site_label
_atom_site_type_symbol
_atom_site_fract_x
_atom_site_fract_y
_atom_site_fract_z
_atom_site_occupancy
Zr1 Zr 0.0000 0.0000 0.0000 1
Ta1 Ta 0.0000 0.0000 0.5000 1
Ag1 Ag 0.0000 0.0000 0.2475 1
```

Values from the calculation:
- ΔH_f (0 K): 247.1 meV/atom
- Uncorrected energy: -6.279 eV/atom
- Fermi-level density of states: 9.47 states/eV/cell
- Relative energy among the computed polymorphs: 180 meV per atom

***

An optimized crystal structure of ZrTaAg2, computed with GGA-PBE.

The structure in CIF format:
```
data_ZrTaAg2
_symmetry_space_group_name_H-M 'C 1 2/m 1'
_symmetry_Int_Tables_number 12
_cell_length_a 5.820
_cell_length_b 8.813
_cell_length_c 2.911
_cell_angle_alpha 90.00
_cell_angle_beta 90.19
_cell_angle_gamma 90.00
loop_
_symmetry_equiv_pos_as_xyz
'x,y,z'
'-x,-y,-z'
'-x,y,-z'
'x,-y,z'
'x+1/2,y+1/2,z'
'-x+1/2,-y+1/2,-z'
'-x+1/2,y+1/2,-z'
'x+1/2,-y+1/2,z'
loop_
_atom_site_label
_atom_site_type_symbol
_atom_site_fract_x
_atom_site_fract_y
_atom_site_fract_z
_atom_site_occupancy
Zr1 Zr 0.000 0.000 0.000 1
Ta1 Ta 0.000 0.500 0.000 1
Ag1 Ag 0.250 0.250 0.500 1
```

Values from the calculation:
- ΔH_f (0 K): 213.0 meV/atom
- Uncorrected energy: -6.313 eV/atom
- Fermi-level density of states: 6.75 states/eV/cell
- Relative energy among the computed polymorphs: 146 meV per atom

***

An optimized crystal structure of Zr2TaAg, computed with GGA-PBE.

The structure in CIF format:
```
data_Zr2TaAg
_symmetry_space_group_name_H-M 'C 1 m 1'
_symmetry_Int_Tables_number 8
_cell_length_a 11.073
_cell_length_b 3.048
_cell_length_c 5.315
_cell_angle_alpha 90.00
_cell_angle_beta 113.71
_cell_angle_gamma 90.00
loop_
_symmetry_equiv_pos_as_xyz
'x,y,z'
'x,-y,z'
'x+1/2,y+1/2,z'
'x+1/2,-y+1/2,z'
loop_
_atom_site_label
_atom_site_type_symbol
_atom_site_fract_x
_atom_site_fract_y
_atom_site_fract_z
_atom_site_occupancy
Zr1 Zr 0.000 0.000 0.000 1
Zr2 Zr 0.220 0.000 0.614 1
Ta1 Ta 0.250 0.500 0.120 1
Ag1 Ag 0.474 0.000 0.501 1
```

Values from the calculation:
- ΔH_f (0 K): 121.3 meV/atom
- Uncorrected energy: -7.829 eV/atom
- Fermi-level density of states: 8.05 states/eV/cell
- Relative energy among the computed polymorphs: 120 meV per atom

***

An optimized crystal structure of ZrTa4Ag, computed with GGA-PBE.

The structure in CIF format:
```
data_ZrTa4Ag
_symmetry_space_group_name_H-M 'F -4 3 m'
_symmetry_Int_Tables_number 216
_symmetry_space_group_name_Hall 'F -4 2 3'
_cell_length_a 7.819
_cell_length_b 7.819
_cell_length_c 7.819
_cell_angle_alpha 90.00
_cell_angle_beta 90.00
_cell_angle_gamma 90.00
loop_
_atom_site_label
_atom_site_type_symbol
_atom_site_fract_x
_atom_site_fract_y
_atom_site_fract_z
_atom_site_occupancy
Zr1 Zr 0.000 0.000 0.000 1
Ta1 Ta 0.127 0.127 0.373 1
Ag1 Ag 0.250 0.250 0.750 1
```

Values from the calculation:
- ΔH_f (0 K): 321.7 meV/atom
- Uncorrected energy: -9.480 eV/atom
- Fermi-level density of states: 28.26 states/eV/cell

***

An optimized crystal structure of Zr2TaAg2, computed with GGA-PBE.

The structure in CIF format:
```
data_Zr2TaAg2
_symmetry_space_group_name_H-M 'I 4/m m m'
_symmetry_Int_Tables_number 139
_symmetry_space_group_name_Hall '-I 4 2'
_cell_length_a 3.905
_cell_length_b 3.905
_cell_length_c 13.655
_cell_angle_alpha 90.00
_cell_angle_beta 90.00
_cell_angle_gamma 90.00
loop_
_atom_site_label
_atom_site_type_symbol
_atom_site_fract_x
_atom_site_fract_y
_atom_site_fract_z
_atom_site_occupancy
Zr1 Zr 0.000 0.500 0.250 1
Ta1 Ta 0.000 0.000 0.000 1
Ag1 Ag 0.000 0.000 0.407 1
```

Values from the calculation:
- ΔH_f (0 K): 756.3 meV/atom
- Uncorrected energy: -6.174 eV/atom
- Fermi-level density of states: 17.12 states/eV/cell
- Relative energy among the computed polymorphs: 476 meV per atom

***

An optimized crystal structure of ZrTaAg2, computed with GGA-PBE.

The structure in CIF format:
```
data_ZrTaAg2
_symmetry_space_group_name_H-M 'P m m m'
_symmetry_Int_Tables_number 47
_cell_length_a 2.910
_cell_length_b 4.396
_cell_length_c 5.850
_cell_angle_alpha 90.00
_cell_angle_beta 90.00
_cell_angle_gamma 90.00
loop_
_symmetry_equiv_pos_as_xyz
'x,y,z'
'-x,-y,-z'
'-x,-y,z'
'x,y,-z'
'x,-y,-z'
'-x,y,z'
'-x,y,-z'
'x,-y,z'
loop_
_atom_site_label
_atom_site_type_symbol
_atom_site_fract_x
_atom_site_fract_y
_atom_site_fract_z
_atom_site_occupancy
Zr1 Zr 0.000 0.000 0.000 1
Ta1 Ta 0.000 0.000 0.500 1
Ag1 Ag 0.500 0.500 0.258 1
```

Values from the calculation:
- ΔH_f (0 K): 216.0 meV/atom
- Uncorrected energy: -6.310 eV/atom
- Fermi-level density of states: 4.04 states/eV/cell
- Relative energy among the computed polymorphs: 149 meV per atom

***

An optimized crystal structure of Zr2TaAg, computed with GGA-PBE.

The structure in CIF format:
```
data_Zr2TaAg
_symmetry_space_group_name_H-M 'C 1 2/m 1'
_symmetry_Int_Tables_number 12
_cell_length_a 11.109
_cell_length_b 3.204
_cell_length_c 5.186
_cell_angle_alpha 90.00
_cell_angle_beta 117.50
_cell_angle_gamma 90.00
loop_
_symmetry_equiv_pos_as_xyz
'x,y,z'
'-x,-y,-z'
'-x,y,-z'
'x,-y,z'
'x+1/2,y+1/2,z'
'-x+1/2,-y+1/2,-z'
'-x+1/2,y+1/2,-z'
'x+1/2,-y+1/2,z'
loop_
_atom_site_label
_atom_site_type_symbol
_atom_site_fract_x
_atom_site_fract_y
_atom_site_fract_z
_atom_site_occupancy
Zr1 Zr 0.250 0.000 0.250 1
Ta1 Ta 0.000 0.000 0.500 1
Ag1 Ag 0.000 0.500 0.000 1
```

Values from the calculation:
- ΔH_f (0 K): 223.3 meV/atom
- Uncorrected energy: -7.727 eV/atom
- Fermi-level density of states: 7.91 states/eV/cell
- Relative energy among the computed polymorphs: 222 meV per atom